! PBE+U K4U3VO12, optimized geometry; values from VASP
! Volume, A^3/atom: 15.587
! ρ, Mg/m³: 5.93
! Total moment, μB/f.u.: 3.00
! Total DFT energy (no corrections), hartree per atom: -0.292
&SYSTEM
  ibrav = 0, nat = 20, ntyp = 4
/
ATOMIC_SPECIES
K 39.10 K.upf
U 238.03 U.upf
V 50.94 V.upf
O 16.00 O.upf
CELL_PARAMETERS angstrom
-4.271 4.271 4.271
4.271 -4.271 4.271
4.271 4.271 -4.271
ATOMIC_POSITIONS angstrom
K 2.136 2.136 -2.136
K 2.136 -2.136 2.136
K -2.136 2.136 2.136
K 2.136 2.136 2.136
U 4.271 0.000 0.000
U 0.000 4.271 0.000
U 0.000 0.000 4.271
V 0.000 0.000 0.000
O 2.269 0.000 0.000
O 6.274 0.000 0.000
O 4.271 2.136 0.000
O 4.271 0.000 2.136
O 0.000 2.269 0.000
O 0.000 0.000 2.269
O 2.136 4.271 0.000
O 2.136 0.000 4.271
O 0.000 6.274 0.000
O 0.000 0.000 6.274
O 0.000 4.271 2.136
O 0.000 2.136 4.271